(1)
Here is SrV after structural relaxation from Alexandria via LeMat-Bulk. Energies are from PBE-GGA.

The value obtained for the theoretical density is 2.2 g/cm³. The calculation puts the energy above the most stable polymorph in this dataset at 256.8 kJ/mol of formula units. The crystal system is cubic. For the total magnetization, the calculation gives 5.195 μB per formula unit. As for the formation enthalpy at 0 K: 45.142 kcal/mol of atoms. As for the energy: -3.44 eV per atom.

Unit cell a=7.4430 b=7.4430 c=7.4430 alpha=90.00 beta=90.00 gamma=90.00
With the nearest neighbours (Å) after each atom.
Positions (direct):
Sr 0.0000 0.5000 0.5000  4 V 3.22
Sr 0.5000 0.5000 0.0000  4 V 3.22
Sr 0.0000 0.0000 0.0000  4 V 3.22
Sr 0.5000 0.0000 0.5000  4 V 3.22
V 0.7500 0.7500 0.2500  4 Sr 3.22
V 0.2500 0.7500 0.7500  4 Sr 3.22
V 0.7500 0.2500 0.7500  4 Sr 3.22
V 0.2500 0.2500 0.2500  4 Sr 3.22



(2)
Here is SrV after structural relaxation from Alexandria via LeMat-Bulk. Energies are from PBE-GGA.

The value obtained for the theoretical density is 2.4 g/cm³. The calculation puts the energy above the most stable polymorph in this dataset at 206.4 kJ/mol of formula units. The crystal system is hexagonal. For the total magnetization, the calculation gives 4.912 μB per formula unit. As for the formation enthalpy at 0 K: 39.115 kcal/mol of atoms. As for the energy: -3.70 eV per atom.

Unit cell a=5.7375 b=5.7375 c=6.6788 alpha=90.00 beta=90.00 gamma=120.00
With the nearest neighbours (Å) after each atom.
Positions (direct):
Sr 0.3333 0.6667 0.7500  5 V 3.31-3.34
Sr 0.6667 0.3333 0.2500  5 V 3.31-3.34
V 0.3333 0.6667 0.2500  5 Sr 3.31-3.34
V 0.6667 0.3333 0.7500  5 Sr 3.31-3.34



(3)
Here is SrV after structural relaxation from Alexandria via LeMat-Bulk. Energies are from PBE-GGA.

The value obtained for the theoretical density is 3.7 g/cm³. The calculation puts the energy above the most stable polymorph in this dataset at 15.5 kJ/mol of formula units. The crystal system is monoclinic. For the total magnetization, the calculation gives 0.001 μB per formula unit. As for the formation enthalpy at 0 K: 16.306 kcal/mol of atoms. As for the energy: -4.69 eV per atom.

Unit cell a=4.2795 b=10.8373 c=6.0332 alpha=90.00 beta=118.32 gamma=90.00
With the nearest neighbours (Å) after each atom.
Positions (direct):
V 0.7556 0.5000 0.9278  1 V 1.85
V 0.7556 0.0000 0.4278  1 V 1.85
V 0.2444 0.0000 0.5722  1 V 1.85
V 0.2444 0.5000 0.0722  1 V 1.85
Sr 0.0000 0.8370 0.0000  8 V 3.51-3.77, 3 Sr 3.53-3.56
Sr 0.0000 0.6630 0.5000  8 V 3.51-3.77, 3 Sr 3.53-3.56
Sr 0.0000 0.3370 0.5000  8 V 3.51-3.77, 3 Sr 3.53-3.56
Sr 0.0000 0.1630 0.0000  8 V 3.51-3.77, 3 Sr 3.53-3.56



(4)
Here is SrV after structural relaxation from Alexandria via LeMat-Bulk. Energies are from PBE-GGA.

The value obtained for the theoretical density is 3.7 g/cm³. The calculation puts the energy above the most stable polymorph in this dataset at 8.3 kJ/mol of formula units. The crystal system is orthorhombic. For the total magnetization, the calculation gives 0.293 μB per formula unit. As for the formation enthalpy at 0 K: 15.436 kcal/mol of atoms. As for the energy: -4.73 eV per atom.

Unit cell a=13.4522 b=3.6289 c=7.6140 alpha=90.00 beta=90.00 gamma=90.00
With the nearest neighbours (Å) after each atom.
Positions (direct):
Sr 0.2168 0.5000 0.2406  3 V 3.21-3.48
Sr 0.7168 0.0000 0.7406  3 V 3.21-3.48
Sr 0.7832 0.5000 0.2406  3 V 3.21-3.48
Sr 0.0000 0.0000 0.9319  5 V 3.37-3.69, 2 Sr 3.63
Sr 0.2832 0.0000 0.7406  3 V 3.21-3.48
Sr 0.5000 0.5000 0.4319  5 V 3.37-3.69, 2 Sr 3.63
V 0.5800 0.0000 0.0863  1 V 2.15
V 0.0000 0.0000 0.4163  4 V 2.48
V 0.4200 0.0000 0.0863  1 V 2.15
V 0.5000 0.5000 0.9163  4 V 2.48
V 0.0800 0.5000 0.5863  1 V 2.15
V 0.9200 0.5000 0.5863  1 V 2.15



(5)
Here is SrV after structural relaxation from Alexandria via LeMat-Bulk. Energies are from PBE-GGA.

The value obtained for the theoretical density is 2.2 g/cm³. The calculation puts the energy above the most stable polymorph in this dataset at 86.9 kJ/mol of formula units. The crystal system is cubic. For the total magnetization, the calculation gives 0.000 μB per formula unit. As for the formation enthalpy at 0 K: 24.839 kcal/mol of atoms. As for the energy: -4.32 eV per atom.

Unit cell a=9.3732 b=9.3732 c=9.3732 alpha=90.00 beta=90.00 gamma=90.00
With the nearest neighbours (Å) after each atom.
Positions (direct):
Sr 0.7153 0.2847 0.7153  4 V 3.24-3.30
Sr 0.7847 0.2153 0.2153  4 V 3.24-3.30
Sr 0.7153 0.7153 0.2847  4 V 3.24-3.30
Sr 0.2153 0.7847 0.2153  4 V 3.24-3.30
Sr 0.7847 0.7847 0.7847  4 V 3.24-3.30
Sr 0.2847 0.7153 0.7153  4 V 3.24-3.30
Sr 0.2153 0.2153 0.7847  4 V 3.24-3.30
Sr 0.2847 0.2847 0.2847  4 V 3.24-3.30
V 0.4146 0.5854 0.4146  3 V 2.26
V 0.0854 0.9146 0.9146  3 V 2.26
V 0.4146 0.4146 0.5854  3 V 2.26
V 0.9146 0.9146 0.0854  3 V 2.26
V 0.0854 0.0854 0.0854  3 V 2.26
V 0.5854 0.4146 0.4146  3 V 2.26
V 0.5854 0.5854 0.5854  3 V 2.26
V 0.9146 0.0854 0.9146  3 V 2.26



(6)
Here is SrV after structural relaxation from Alexandria via LeMat-Bulk. Energies are from PBE-GGA.

The value obtained for the theoretical density is 3.6 g/cm³. The calculation puts the energy above the most stable polymorph in this dataset at 15.2 kJ/mol of formula units. The crystal system is trigonal. For the total magnetization, the calculation gives 0.000 μB per formula unit. As for the formation enthalpy at 0 K: 16.265 kcal/mol of atoms. As for the energy: -4.69 eV per atom.

Unit cell a=5.7912 b=5.7912 c=4.3618 alpha=90.00 beta=90.00 gamma=120.00
With the nearest neighbours (Å) after each atom.
Positions (direct):
Sr 0.3333 0.6667 0.8777  3 V 3.35
Sr 0.6667 0.3333 0.3601  3 V 3.35
V 0.0000 0.0000 0.3308  1 V 1.82
V 0.0000 0.0000 0.9136  1 V 1.82



(7)
Here is SrV after structural relaxation from Alexandria via LeMat-Bulk. Energies are from PBE-GGA.

The value obtained for the theoretical density is 1.7 g/cm³. The calculation puts the energy above the most stable polymorph in this dataset at 267.9 kJ/mol of formula units. The crystal system is cubic. For the total magnetization, the calculation gives 5.064 μB per formula unit. As for the formation enthalpy at 0 K: 46.469 kcal/mol of atoms. As for the energy: -3.39 eV per atom.

Unit cell a=9.2835 b=9.2835 c=9.2835 alpha=90.00 beta=90.00 gamma=90.00
With the nearest neighbours (Å) after each atom.
Positions (direct):
V 0.0000 0.2500 0.5000  4 Sr 3.28
V 0.5000 0.0000 0.2500  4 Sr 3.28
V 0.7500 0.5000 0.0000  4 Sr 3.28
V 0.5000 0.0000 0.7500  4 Sr 3.28
V 0.2500 0.5000 0.0000  4 Sr 3.28
V 0.0000 0.7500 0.5000  4 Sr 3.28
Sr 0.0000 0.5000 0.2500  4 V 3.28
Sr 0.0000 0.5000 0.7500  4 V 3.28
Sr 0.2500 0.0000 0.5000  4 V 3.28
Sr 0.5000 0.7500 0.0000  4 V 3.28
Sr 0.7500 0.0000 0.5000  4 V 3.28
Sr 0.5000 0.2500 0.0000  4 V 3.28



(8)
Here is Sr2VW after structural relaxation from Alexandria via LeMat-Bulk. Energies are from PBE-GGA.

The value obtained for the theoretical density is 6.0 g/cm³. The calculation puts the energy above the most stable polymorph in this dataset at 0.0 kJ/mol of formula units. The crystal system is cubic. For the total magnetization, the calculation gives 6.481 μB per formula unit. As for the formation enthalpy at 0 K: 35.417 kcal/mol of atoms. As for the energy: -4.82 eV per atom.

Unit cell a=5.4484 b=5.4484 c=5.4484 alpha=60.00 beta=60.00 gamma=60.00
With the nearest neighbours (Å) after each atom.
Positions (direct):
V 0.0000 0.0000 0.0000  8 Sr 3.34
Sr 0.2500 0.2500 0.2500  4 W 3.34, 4 V 3.34
Sr 0.7500 0.7500 0.7500  4 V 3.34, 4 W 3.34
W 0.5000 0.5000 0.5000  8 Sr 3.34



(9)
Here is SrV2W after structural relaxation from Alexandria via LeMat-Bulk. Energies are from PBE-GGA.

The value obtained for the theoretical density is 8.3 g/cm³. The calculation puts the energy above the most stable polymorph in this dataset at 0.0 kJ/mol of formula units. The crystal system is cubic. For the total magnetization, the calculation gives 3.281 μB per formula unit. As for the formation enthalpy at 0 K: 24.145 kcal/mol of atoms. As for the energy: -7.17 eV per atom.

Unit cell a=4.7345 b=4.7345 c=4.7345 alpha=60.00 beta=60.00 gamma=60.00
With the nearest neighbours (Å) after each atom.
Positions (direct):
Sr 0.0000 0.0000 0.0000  8 V 2.90
V 0.2500 0.2500 0.2500  4 W 2.90, 4 Sr 2.90
V 0.7500 0.7500 0.7500  4 W 2.90, 4 Sr 2.90
W 0.5000 0.5000 0.5000  8 V 2.90



(10)
Here is SrVW3 after structural relaxation from Alexandria via LeMat-Bulk. Energies are from PBE-GGA.

The value obtained for the theoretical density is 10.8 g/cm³. The calculation puts the energy above the most stable polymorph in this dataset at 0.0 kJ/mol of formula units. The crystal system is cubic. For the total magnetization, the calculation gives 0.002 μB per formula unit. As for the formation enthalpy at 0 K: 34.991 kcal/mol of atoms. As for the energy: -8.41 eV per atom.

Unit cell a=4.7321 b=4.7321 c=4.7321 alpha=90.00 beta=90.00 gamma=90.00
With the nearest neighbours (Å) after each atom.
Positions (direct):
Sr 0.5000 0.5000 0.5000  12 W 3.35
V 0.0000 0.0000 0.0000  6 W 2.37
W 0.0000 0.0000 0.5000  2 V 2.37
W 0.0000 0.5000 0.0000  2 V 2.37
W 0.5000 0.0000 0.0000  2 V 2.37



(11)
Here is Sr2VW after structural relaxation from Alexandria via LeMat-Bulk. Energies are from PBE-GGA.

The value obtained for the theoretical density is 6.0 g/cm³. The calculation puts the energy above the most stable polymorph in this dataset at 41.5 kJ/mol of formula units. The crystal system is tetragonal. For the total magnetization, the calculation gives 0.575 μB per formula unit. As for the formation enthalpy at 0 K: 37.899 kcal/mol of atoms. As for the energy: -4.72 eV per atom.

Unit cell a=8.6758 b=8.6758 c=6.8355 alpha=50.61 beta=50.61 gamma=90.00
With the nearest neighbours (Å) after each atom.
Positions (direct):
Sr 0.3750 0.3790 0.7500  2 Sr 3.02, 2 V 3.13, 2 W 3.18
Sr 0.1290 0.6250 0.2500  2 Sr 3.02, 2 V 3.13, 2 W 3.18
Sr 0.8750 0.8710 0.7500  2 Sr 3.02, 2 V 3.13, 2 W 3.18
Sr 0.6210 0.1250 0.2500  2 Sr 3.02, 2 V 3.13, 2 W 3.18
W 0.0000 0.0000 0.0000  2 V 3.02, 4 Sr 3.18
W 0.7500 0.2500 0.5000  2 V 3.02, 4 Sr 3.18
V 0.5000 0.5000 0.0000  2 W 3.02, 4 Sr 3.13
V 0.2500 0.7500 0.5000  2 W 3.02, 4 Sr 3.13



(12)
Here is Sr3VW after structural relaxation from Alexandria via LeMat-Bulk. Energies are from PBE-GGA.

The value obtained for the theoretical density is 4.2 g/cm³. The calculation puts the energy above the most stable polymorph in this dataset at 0.0 kJ/mol of formula units. The crystal system is cubic. For the total magnetization, the calculation gives 3.833 μB per formula unit. As for the formation enthalpy at 0 K: 35.961 kcal/mol of atoms. As for the energy: -3.86 eV per atom.

Unit cell a=5.8350 b=5.8350 c=5.8350 alpha=90.00 beta=90.00 gamma=90.00
With the nearest neighbours (Å) after each atom.
Positions (direct):
Sr 0.0000 0.0000 0.5000  2 W 2.92
Sr 0.0000 0.5000 0.0000  2 W 2.92
Sr 0.5000 0.0000 0.0000  2 W 2.92
V 0.5000 0.5000 0.5000  12 Sr 4.13
W 0.0000 0.0000 0.0000  6 Sr 2.92